Entry 1:
DFT (GGA-PBEsol) results for crystalline Al2RuAu at its relaxed geometry.

Results
The energy relative to the elements comes out at -2.06 eV/f.u. Its density of states at the Fermi level is 1.25 states/eV/f.u.

Unit cell a=3.065 b=4.330 c=4.330 alpha=96.49 beta=90.00 gamma=90.00
Element x y z (fractional)
1 Au 0.500 0.000 0.000
2 Al 0.000 0.000 0.500
3 Al 0.000 0.500 0.000
4 Ru 0.500 0.500 0.500



Entry 2:
DFT (GGA-PBEsol) results for crystalline Sc2TaCr at its relaxed geometry.

Results
The energy relative to the elements comes out at 1.54 eV/f.u. Its density of states at the Fermi level is 5.30 states/eV/f.u.

Unit cell a=2.943 b=4.565 c=5.542 alpha=90.00 beta=105.16 gamma=90.00
Element x y z (fractional)
1 Cr 0.500 0.500 0.500
2 Ta 0.500 0.500 0.000
3 Sc 0.911 0.000 0.741
4 Sc 0.089 0.000 0.259



Entry 3:
DFT (GGA-PBEsol) results for crystalline Sr2LiPt at its relaxed geometry.

Results
The energy relative to the elements comes out at -0.97 eV/f.u. Its density of states at the Fermi level is 2.95 states/eV/f.u.

Unit cell a=3.665 b=3.665 c=8.361 alpha=90.00 beta=90.00 gamma=90.00
Element x y z (fractional)
1 Sr 0.000 0.000 0.909
2 Sr 0.500 0.500 0.325
3 Pt 0.500 0.500 0.687
4 Li 0.000 0.000 0.579



Entry 4:
DFT (GGA-PBEsol) results for crystalline HfReAs2O at its relaxed geometry.

Results
The uncorrected formation energy comes out at 281 meV/atom. Its density of states at the Fermi level is 2.41 states/eV/f.u.

Unit cell a=3.811 b=5.161 c=5.161 alpha=90.00 beta=90.00 gamma=90.00
Element x y z (fractional)
1 O 0.500 0.000 0.000
2 As 0.000 0.500 0.000
3 As 0.000 0.000 0.500
4 Re 0.500 0.500 0.500
5 Hf 0.000 0.000 0.000



Entry 5:
DFT (GGA-PBEsol) results for crystalline LiCu2Pb at its relaxed geometry.

Results
The energy relative to the elements comes out at 0.23 eV/f.u. Its density of states at the Fermi level is 0.99 states/eV/f.u.

Unit cell a=3.920 b=3.920 c=3.963 alpha=90.00 beta=90.00 gamma=90.00
Element x y z (fractional)
1 Li 0.500 0.500 0.500
2 Cu 0.000 0.500 0.000
3 Cu 0.500 0.000 0.000
4 Pb 0.000 0.000 0.500



Entry 6:
DFT (GGA-PBEsol) results for crystalline Mn3Al4 at its relaxed geometry.

Results
The energy relative to the elements comes out at -1.28 eV/f.u. Its density of states at the Fermi level is 5.41 states/eV/f.u.

Unit cell a=2.932 b=2.932 c=10.321 alpha=98.17 beta=98.17 gamma=90.00
Element x y z (fractional)
1 Mn 0.718 0.718 0.435
2 Mn 0.000 0.000 0.000
3 Mn 0.282 0.282 0.565
4 Al 0.849 0.849 0.699
5 Al 0.565 0.565 0.131
6 Al 0.151 0.151 0.301
7 Al 0.435 0.435 0.869



Entry 7:
DFT (GGA-PBEsol) results for crystalline NaNiP2Cl at its relaxed geometry.

Results
The uncorrected formation energy comes out at 1477 meV/atom. Its density of states at the Fermi level is 8.86 states/eV/f.u.

Unit cell a=4.695 b=4.787 c=4.787 alpha=90.00 beta=90.00 gamma=90.00
Element x y z (fractional)
1 P 0.000 0.500 0.000
2 P 0.000 0.000 0.500
3 Na 0.000 0.000 0.000
4 Ni 0.500 0.500 0.500
5 Cl 0.500 0.000 0.000



Entry 8:
DFT (GGA-PBEsol) results for crystalline Ba2CaAl at its relaxed geometry.

Results
The energy relative to the elements comes out at -0.13 eV/f.u. Its density of states at the Fermi level is 4.81 states/eV/f.u.

Unit cell a=4.002 b=4.002 c=10.156 alpha=90.00 beta=90.00 gamma=90.00
Element x y z (fractional)
1 Ca 0.000 0.000 0.573
2 Ba 0.000 0.000 0.927
3 Ba 0.500 0.500 0.279
4 Al 0.500 0.500 0.720



Entry 9:
DFT (GGA-PBEsol) results for crystalline Be2CrSi at its relaxed geometry.

Results
The uncorrected formation energy comes out at -285 meV/atom. Its density of states at the Fermi level is 0.43 states/eV/f.u.

Unit cell a=3.252 b=3.252 c=4.307 alpha=112.18 beta=112.18 gamma=90.00
Element x y z (fractional)
1 Be 0.250 0.750 0.500
2 Be 0.500 0.500 0.000
3 Si 0.750 0.250 0.500
4 Cr 0.000 0.000 0.000



Entry 10:
DFT (GGA-PBEsol) results for crystalline ZrCuW2 at its relaxed geometry.

Results
The energy relative to the elements comes out at 1.31 eV/f.u. Its density of states at the Fermi level is 3.16 states/eV/f.u.

Unit cell a=2.679 b=4.024 c=6.008 alpha=90.00 beta=90.00 gamma=90.00
Element x y z (fractional)
1 W 0.000 0.000 0.996
2 W 0.500 0.500 0.226
3 Zr 0.000 0.000 0.512
4 Cu 0.500 0.500 0.766



Entry 11:
DFT (GGA-PBEsol) results for crystalline YGe2BMo at its relaxed geometry.

Results
The energy relative to the elements comes out at 3.35 eV/f.u. Its density of states at the Fermi level is 3.57 states/eV/f.u.

Unit cell a=4.283 b=4.283 c=4.602 alpha=90.00 beta=90.00 gamma=90.00
Element x y z (fractional)
1 Y 0.000 0.000 0.500
2 B 0.000 0.000 0.000
3 Ge 0.000 0.500 0.000
4 Ge 0.500 0.000 0.000
5 Mo 0.500 0.500 0.500



Entry 12:
DFT (GGA-PBEsol) results for crystalline CoTc2Os at its relaxed geometry.

Results
The energy relative to the elements comes out at -0.22 eV/f.u. Its density of states at the Fermi level is 3.25 states/eV/f.u.

Unit cell a=2.679 b=4.207 c=4.619 alpha=90.00 beta=90.00 gamma=90.00
Element x y z (fractional)
1 Tc 0.000 0.500 0.698
2 Tc 0.000 0.000 0.036
3 Co 0.500 0.000 0.550
4 Os 0.500 0.500 0.216



Entry 13:
DFT (GGA-PBEsol) results for crystalline ZrAl2Se at its relaxed geometry.

Results
The uncorrected formation energy comes out at -326 meV/atom. Its density of states at the Fermi level is 2.18 states/eV/f.u.

Unit cell a=3.251 b=5.003 c=5.003 alpha=115.48 beta=90.00 gamma=90.00
Element x y z (fractional)
1 Se 0.500 0.000 0.000
2 Zr 0.500 0.500 0.500
3 Al 0.000 0.500 0.000
4 Al 0.000 0.000 0.500



Entry 14:
DFT (GGA-PBEsol) results for crystalline Al4Ag3 at its relaxed geometry.

Results
The energy relative to the elements comes out at -0.47 eV/f.u. Its density of states at the Fermi level is 1.98 states/eV/f.u.

Unit cell a=2.939 b=6.238 c=7.060 alpha=114.79 beta=90.00 gamma=103.62
Element x y z (fractional)
1 Ag 0.423 0.845 0.283
2 Ag 0.000 0.000 0.000
3 Ag 0.577 0.155 0.717
4 Al 0.140 0.280 0.428
5 Al 0.711 0.422 0.142
6 Al 0.860 0.720 0.572
7 Al 0.289 0.578 0.858



Entry 15:
DFT (GGA-PBEsol) results for crystalline YMgMo2 at its relaxed geometry.

Results
The energy relative to the elements comes out at 2.28 eV/f.u. Its density of states at the Fermi level is 3.23 states/eV/f.u.

Unit cell a=2.753 b=5.516 c=5.516 alpha=118.19 beta=90.00 gamma=90.00
Element x y z (fractional)
1 Mo 0.000 0.000 0.500
2 Mo 0.000 0.500 0.000
3 Y 0.500 0.000 0.000
4 Mg 0.500 0.500 0.500



Entry 16:
DFT (GGA-PBEsol) results for crystalline BaMgBeTl2 at its relaxed geometry.

Results
The energy relative to the elements comes out at 7.21 eV/f.u. Its density of states at the Fermi level is 7.21 states/eV/f.u.

Unit cell a=6.285 b=6.285 c=6.521 alpha=90.00 beta=90.00 gamma=90.00
Element x y z (fractional)
1 Ba 0.000 0.000 0.000
2 Tl 0.000 0.500 0.000
3 Tl 0.500 0.000 0.000
4 Mg 0.000 0.000 0.500
5 Be 0.500 0.500 0.500



Entry 17:
DFT (GGA-PBEsol) results for crystalline VOF at its relaxed geometry.

Results
The uncorrected formation energy comes out at -2401 meV/atom.

Unit cell a=3.347 b=3.347 c=6.190 alpha=74.31 beta=74.31 gamma=60.00
Element x y z (fractional)
1 F 0.373 0.373 0.880
2 F 0.627 0.627 0.120
3 O 0.125 0.125 0.624
4 O 0.875 0.875 0.376
5 V 0.761 0.761 0.718
6 V 0.239 0.239 0.282



Entry 18:
DFT (GGA-PBEsol) results for crystalline SbPd2Au2 at its relaxed geometry.

Results
The uncorrected formation energy comes out at 117 meV/atom. Its density of states at the Fermi level is 2.27 states/eV/f.u.

Unit cell a=3.765 b=3.765 c=7.097 alpha=105.38 beta=105.38 gamma=90.00
Element x y z (fractional)
1 Sb 0.000 0.000 0.000
2 Pd 0.750 0.250 0.500
3 Pd 0.250 0.750 0.500
4 Au 0.603 0.603 0.206
5 Au 0.397 0.397 0.794



Entry 19:
DFT (GGA-PBEsol) results for crystalline SrYCl2 at its relaxed geometry.

Results
The uncorrected formation energy comes out at -1098 meV/atom. Its density of states at the Fermi level is 3.21 states/eV/f.u.

Unit cell a=4.959 b=4.959 c=4.959 alpha=60.00 beta=60.00 gamma=60.00
Element x y z (fractional)
1 Cl 0.250 0.250 0.250
2 Cl 0.750 0.750 0.750
3 Sr 0.500 0.500 0.500
4 Y 0.000 0.000 0.000



Entry 20:
DFT (GGA-PBEsol) results for crystalline SrLi at its relaxed geometry.

Results
The energy relative to the elements comes out at 0.08 eV/f.u. Its density of states at the Fermi level is 1.67 states/eV/f.u.

Unit cell a=4.102 b=5.881 c=7.044 alpha=114.68 beta=106.93 gamma=90.00
Element x y z (fractional)
1 Sr 0.894 0.144 0.789
2 Sr 0.106 0.856 0.211
3 Li 0.340 0.590 0.680
4 Li 0.660 0.410 0.320



| no. | total magnetization (μB/atom) | volume (Å³/cell) |
| --- | --- | --- |
| 1 | 0.0000 | 57.1 |
| 2 | 0.4483 | 71.9 |
| 3 | 0.0001 | 112.3 |
| 4 | 0.5954 | 101.5 |
| 5 | 0.0000 | 60.9 |
| 6 | 0.0846 | 86.9 |
| 7 | 0.0720 | 107.6 |
| 8 | 0.0000 | 162.6 |
| 9 | 0.0000 | 38.5 |
| 10 | 0.0000 | 64.8 |
| 11 | 0.3758 | 84.4 |
| 12 | 0.0003 | 52.0 |
| 13 | 0.0000 | 73.4 |
| 14 | 0.0000 | 113.5 |
| 15 | 0.0000 | 73.8 |
| 16 | 0.0007 | 257.6 |
| 17 | 0.6667 | 57.1 |
| 18 | 0.0000 | 93.3 |
| 19 | 0.0000 | 86.2 |
| 20 | 0.0001 | 146.3 |